# 1
An optimized crystal structure of CaTiOsO6, computed with PBE.

It has space group P-31c (No. 163), with a = 5.1721 Å, b = 5.1721 Å, c = 10.1173 Å, α = 90.00°, β = 90.00° and γ = 120.00°. The inequivalent atoms are Ca at (0.0000, 0.0000, 0.0000), Ti at (0.3333, 0.6667, 0.2500), Os at (0.3333, 0.6667, 0.7500) and O at (0.0053, 0.3705, 0.6445).

The value obtained for the formation energy from raw total energies is -2.1356 eV per atom.

# 2
An optimized crystal structure of K2SmTlCl6, computed with PBE.

It has space group R3 (No. 146, hexagonal axes), with a = 7.7816 Å, b = 7.7816 Å, c = 20.3032 Å, α = 90.00°, β = 90.00° and γ = 120.00°. The inequivalent atoms are K at (0.0000, 0.0000, 0.0000), K at (0.0000, 0.0000, 0.4896), Sm at (0.0000, 0.0000, 0.6973), Tl at (0.0000, 0.0000, 0.2085), Cl at (0.0180, 0.3913, 0.4334) and Cl at (0.0662, 0.6788, 0.2788).

The value obtained for the formation energy from raw total energies is -1.9297 eV per atom.

| no. | final energy (eV for the cell shown) |
| --- | --- |
| 1 | -140.19 |
| 2 | -118.97 |